A geometry-optimized Re2Os structure. Source: OQMD via LeMat-Bulk, functional PBE-GGA.

Values from the calculation:
Energy: -11.5012 eV per atom
Symmetry: No. 227

a b c (Å): 5.0747 5.0747 5.0747
angles (deg): 60.00 60.00 60.00
Last column: nearest neighbours and their distance in Å.
Fractional coordinates of all 6 atoms:
Re  0.0000  0.0000  0.0000  6 Re 2.54
Re  0.0000  0.0000  0.5000  6 Re 2.54
Re  0.0000  0.5000  0.0000  6 Re 2.54
Re  0.5000  0.0000  0.0000  6 Re 2.54
Os  0.3750  0.3750  0.3750  12 Re 2.98, 4 Os 3.11
Os  0.6250  0.6250  0.6250  12 Re 2.98, 4 Os 3.11

A geometry-optimized Er3Te2Se structure. Source: OQMD via LeMat-Bulk, functional PBE-GGA.

Values from the calculation:
Energy: -5.2752 eV per atom
Symmetry: No. 164

a b c (Å): 4.2039 4.2039 10.4377
angles (deg): 90.00 90.00 120.00
Last column: nearest neighbours and their distance in Å.
Fractional coordinates of all 6 atoms:
Er  0.0000  0.0000  0.0000  6 Te 3.05
Er  0.3333  0.6667  0.6414  3 Se 2.84, 3 Te 3.08
Er  0.6667  0.3333  0.3586  3 Se 2.84, 3 Te 3.08
Te  0.3333  0.6667  0.1767  6 Er 3.05-3.08
Te  0.6667  0.3333  0.8233  6 Er 3.05-3.08
Se  0.0000  0.0000  0.5000  6 Er 2.84